Entry 1:
The following is a DFT calculation (GGA-PBE) of a relaxed SnAsAu2 crystal.

It has space group I-42d (No. 122), with a = 4.8719 Å, b = 4.8719 Å, c = 16.2263 Å, α = 90.00°, β = 90.00° and γ = 90.00°. The asymmetric unit holds Sn at (0.0000, 0.0000, 0.0000), As at (0.0000, 0.0000, 0.5000) and Au at (0.1883, 0.2500, 0.6250).

Its density of states at the Fermi level is 5.93 states/eV per cell. As for the formation energy: 33 meV per atom.

---

Entry 2:
The following is a DFT calculation (GGA-PBE) of a relaxed SnAsAu crystal.

It has space group I4mm (No. 107), with a = 2.9372 Å, b = 2.9372 Å, c = 15.8970 Å, α = 90.00°, β = 90.00° and γ = 90.00°. The asymmetric unit holds Sn at (0.0000, 0.0000, 0.0000), As at (0.0000, 0.0000, 0.8109) and Au at (0.0000, 0.0000, 0.6481).

Its density of states at the Fermi level is 2.74 states/eV per cell. As for the formation energy: 163 meV per atom.

---

Entry 3:
The following is a DFT calculation (GGA-PBE) of a relaxed SnAs2Au crystal.

It has space group R3m (No. 160, hexagonal axes), with a = 3.9589 Å, b = 3.9589 Å, c = 19.9954 Å, α = 90.00°, β = 90.00° and γ = 120.00°. The asymmetric unit holds Sn at (0.0000, 0.0000, 0.0000), As at (0.0000, 0.0000, 0.5666), As at (0.0000, 0.0000, 0.7563) and Au at (0.0000, 0.0000, 0.1658).

Its density of states at the Fermi level is 5.10 states/eV per cell. As for the formation energy: 96 meV per atom.

---

Entry 4:
The following is a DFT calculation (GGA-PBE) of a relaxed Sn2As3Au crystal.

It has space group Cc (No. 9), with a = 7.4636 Å, b = 13.0310 Å, c = 7.4911 Å, α = 90.00°, β = 109.53° and γ = 90.00°. The asymmetric unit holds Sn at (0.0000, 0.0806, 0.0000), Sn at (0.0175, 0.2514, 0.4999), As at (0.1227, 0.4251, 0.3744), As at (0.1323, 0.2532, 0.8849), As at (0.1577, 0.0824, 0.3837) and Au at (0.0282, 0.4146, 0.0177).

Its density of states at the Fermi level is 3.10 states/eV per cell. As for the formation energy: -47 meV per atom.

---

Which formula does entry 4 have? Sn2As3Au

---

Among the records above, which one has the highest density of states at the Fermi level? SnAsAu2

---

Among the records above, which one has the highest density of states at the Fermi level? SnAsAu2